1.
# PBE-GGA FeW2Br, relaxed
data_FeW2Br
_cell_length_a 3.0204
_cell_length_b 4.5608
_cell_length_c 4.6554
_cell_angle_alpha 90.00
_cell_angle_beta 90.00
_cell_angle_gamma 90.00
_space_group_name_H-M_alt 'P m m m'
_space_group_IT_number 47
loop_
_space_group_symop_operation_xyz
'x,y,z'
'-x,-y,-z'
'-x,-y,z'
'x,y,-z'
'x,-y,-z'
'-x,y,z'
'-x,y,-z'
'x,-y,z'
loop_
_atom_site_label
_atom_site_fract_x
_atom_site_fract_y
_atom_site_fract_z
Fe1 0.0000 0.0000 0.0000
W1 0.0000 0.5000 0.5000
W2 0.5000 0.0000 0.5000
Br1 0.5000 0.5000 0.0000
# Calculated total energy (eV/atom): -7.95
# Formation energy from raw total energies (kcal/mol of atoms): 24.40

2.
# PBE-GGA NaBeCu3, relaxed
data_NaBeCu3
_cell_length_a 4.2157
_cell_length_b 4.2157
_cell_length_c 4.2157
_cell_angle_alpha 90.00
_cell_angle_beta 90.00
_cell_angle_gamma 90.00
_space_group_name_H-M_alt 'P m -3 m'
_space_group_IT_number 221
_space_group_name_Hall '-P 4 2 3'
loop_
_atom_site_label
_atom_site_fract_x
_atom_site_fract_y
_atom_site_fract_z
Na1 0.0000 0.0000 0.0000
Be1 0.5000 0.5000 0.5000
Cu1 0.0000 0.5000 0.5000
# Calculated total energy (eV/atom): -3.13
# ΔH_f (0 K) (kJ/mol of formula units): 162

3.
# PBE-GGA Bi3IN, relaxed
data_Bi3IN
_cell_length_a 5.1059
_cell_length_b 5.1059
_cell_length_c 5.1059
_cell_angle_alpha 90.00
_cell_angle_beta 90.00
_cell_angle_gamma 90.00
_space_group_name_H-M_alt 'P m -3 m'
_space_group_IT_number 221
_space_group_name_Hall '-P 4 2 3'
loop_
_atom_site_label
_atom_site_fract_x
_atom_site_fract_y
_atom_site_fract_z
Bi1 0.0000 0.0000 0.5000
I1 0.5000 0.5000 0.5000
N1 0.0000 0.0000 0.0000
# Calculated total energy (eV/atom): -3.65
# Formation energy from raw total energies (kcal/mol of atoms): 14.98

4.
# PBE-GGA Re2SnCl2, relaxed
data_Re2SnCl2
_cell_length_a 4.2015
_cell_length_b 4.2015
_cell_length_c 10.4766
_cell_angle_alpha 90.00
_cell_angle_beta 90.00
_cell_angle_gamma 90.00
_space_group_name_H-M_alt 'I 4/m m m'
_space_group_IT_number 139
_space_group_name_Hall '-I 4 2'
loop_
_atom_site_label
_atom_site_fract_x
_atom_site_fract_y
_atom_site_fract_z
Re1 0.0000 0.5000 0.2500
Sn1 0.0000 0.0000 0.0000
Cl1 0.0000 0.0000 0.3606
# Calculated total energy (eV/atom): -5.43
# Formation energy from raw total energies (kcal/mol of atoms): 24.99

5.
# PBE-GGA ZnCr2Ru2, relaxed
data_ZnCr2Ru2
_cell_length_a 7.1316
_cell_length_b 7.1316
_cell_length_c 2.7202
_cell_angle_alpha 90.00
_cell_angle_beta 90.00
_cell_angle_gamma 90.00
_space_group_name_H-M_alt 'P 4/m b m'
_space_group_IT_number 127
_space_group_name_Hall '-P 4 2ab'
loop_
_atom_site_label
_atom_site_fract_x
_atom_site_fract_y
_atom_site_fract_z
Zn1 0.0000 0.0000 0.0000
Cr1 0.1166 0.3834 0.0000
Ru1 0.1722 0.6722 0.5000
# Calculated total energy (eV/atom): -7.61
# ΔH_f (0 K) (kJ/mol of formula units): 100

6.
# PBE-GGA AcTbPm2Nd2, relaxed
data_AcTbPm2Nd2
_cell_length_a 5.8389
_cell_length_b 10.0709
_cell_length_c 7.2882
_cell_angle_alpha 90.00
_cell_angle_beta 90.00
_cell_angle_gamma 90.00
_space_group_name_H-M_alt 'P m c 21'
_space_group_IT_number 26
loop_
_space_group_symop_operation_xyz
'x,y,z'
'-x,-y,z+1/2'
'-x,y,z'
'x,-y,z+1/2'
loop_
_atom_site_label
_atom_site_fract_x
_atom_site_fract_y
_atom_site_fract_z
Ac1 0.0000 0.9998 0.0000
Tb1 0.5000 0.1682 0.2499
Pm1 0.0000 0.3367 0.2506
Pm2 0.5000 0.1718 0.7500
Nd1 0.0000 0.3349 0.7507
Nd2 0.5000 0.5001 0.0006
# Calculated total energy (eV/atom): -4.57
# ΔH_f (0 K) (kJ/mol of formula units): 33

7.
# PBE-GGA Cs12TeAu6, relaxed
data_Cs12TeAu6
_cell_length_a 12.6303
_cell_length_b 12.6303
_cell_length_c 12.6303
_cell_angle_alpha 90.00
_cell_angle_beta 90.00
_cell_angle_gamma 90.00
_space_group_name_H-M_alt 'I m -3'
_space_group_IT_number 204
_space_group_name_Hall '-I 2 2 3'
loop_
_atom_site_label
_atom_site_fract_x
_atom_site_fract_y
_atom_site_fract_z
Cs1 0.0000 0.1761 0.3009
Te1 0.0000 0.0000 0.0000
Au1 0.0000 0.3845 0.5000
# Calculated total energy (eV/atom): -2.08
# Formation energy from raw total energies (kcal/mol of atoms): -7.89

no.,ρ (g cm⁻³)
1,13.035
2,4.935
3,9.579
4,10.093
5,8.919
6,7.473
7,4.787